Compound: VCd2Hg2O6
Source: the Alexandria database
Functional: PBE+U
Structure: optimized geometry

Structure (POSCAR):
```
VCd2Hg2O6
1.0
2.8977 -5.0938 0.0000
2.8977 5.0938 0.0000
-0.2969 0.0000 6.1426
V Cd Hg O
1 2 2 6
Direct
0.0000 0.0000 0.0000
0.3388 0.6612 0.0000
0.6612 0.3388 0.0000
0.1554 0.8446 0.5000
0.8446 0.1554 0.5000
0.0259 0.7182 0.1869
0.2798 0.2798 0.1524
0.2818 0.9741 0.8131
0.7182 0.0259 0.1869
0.7202 0.7202 0.8476
0.9741 0.2818 0.8131
```

Computed properties:
Size of the total moment ... 0.091 μB per atom
Energy ... -4.62 eV per atom
Crystal system ... monoclinic
Symmetry ... No. 12